1.
{
  "formula": "CsNaMoS3",
  "functional": "PBE",
  "state": "relaxed",
  "lattice_angstrom": [[5.980, 1.888, 4.891], [-7.360, -2.682, -1.376], [3.612, -9.535, -0.736]],
  "species": ["Na", "Na", "Mo", "Mo", "S", "S", "S", "S", "S", "S", "Cs", "Cs"],
  "fractional_positions": [[0.439, 0.561, 0.750], [0.561, 0.439, 0.250], [0.000, 0.000, 0.000], [0.000, 0.000, 0.500], [0.953, 0.047, 0.250], [0.604, 0.396, 0.014], [0.396, 0.604, 0.514], [0.047, 0.953, 0.750], [0.396, 0.604, 0.986], [0.604, 0.396, 0.486], [0.732, 0.268, 0.750], [0.268, 0.732, 0.250]],
  "magnetic_moment_mub_per_cell": 4.0,
  "total_energy_ev_per_atom": -4.835,
  "spacegroup": "Cmcm"
}


2.
{
  "formula": "CsNbTe3Mo2",
  "functional": "PBE",
  "state": "relaxed",
  "lattice_angstrom": [[-0.758, -10.010, 2.343], [-0.911, -0.985, -4.503], [9.161, 3.947, -2.717]],
  "species": ["Cs", "Cs", "Te", "Te", "Te", "Te", "Te", "Te", "Mo", "Mo", "Mo", "Mo", "Nb", "Nb"],
  "fractional_positions": [[0.670, 0.250, 0.335], [0.330, 0.750, 0.665], [0.711, 0.750, 0.659], [0.956, 0.750, 0.295], [0.044, 0.250, 0.705], [0.341, 0.750, 0.048], [0.289, 0.250, 0.341], [0.659, 0.250, 0.952], [0.977, 0.250, 0.134], [0.023, 0.750, 0.866], [0.134, 0.750, 0.157], [0.866, 0.250, 0.843], [0.830, 0.750, 0.976], [0.170, 0.250, 0.024]],
  "magnetic_moment_mub_per_cell": 0.0,
  "total_energy_ev_per_atom": -6.534,
  "spacegroup": "P2_1/m"
}


3.
{
  "formula": "CsMoOs",
  "functional": "PBE",
  "state": "relaxed",
  "lattice_angstrom": [[0.000, 3.243, 3.243], [3.243, 0.000, 3.243], [3.243, 3.243, 0.000]],
  "species": ["Cs", "Mo", "Os"],
  "fractional_positions": [[0.250, 0.250, 0.250], [0.000, 0.000, 0.000], [0.750, 0.750, 0.750]],
  "magnetic_moment_mub_per_cell": 0.0,
  "total_energy_ev_per_atom": -5.514,
  "spacegroup": "F-43m"
}